# PrNdCuOs (GGA-PBE, relaxed)
data_PrNdCuOs
_chemical_formula_sum 'Pr1 Nd1 Cu1 Os1'
_space_group_name_H-M_alt 'P 1'
_space_group_IT_number 1
_space_group_name_Hall 'P 1'
_cell_length_a 5.034
_cell_length_b 5.034
_cell_length_c 5.034
_cell_angle_alpha 60.00
_cell_angle_beta 60.00
_cell_angle_gamma 60.00
loop_
_atom_site_label
_atom_site_fract_x
_atom_site_fract_y
_atom_site_fract_z
Nd1 0.000 0.000 0.000
Os1 0.250 0.250 0.250
Pr1 0.500 0.500 0.500
Cu1 0.750 0.750 0.750
# Crystal system = cubic
# DOS(E_F) = 1.9 states/eV/f.u.
# Size of the total moment = 0.0000 μB/atom
# Energy relative to the elements = -0.05 eV/atom

# Tm2TlTc (GGA-PBE, relaxed)
data_Tm2TlTc
_chemical_formula_sum 'Tm2 Tl1 Tc1'
_space_group_name_H-M_alt 'P 1'
_space_group_IT_number 1
_space_group_name_Hall 'P 1'
_cell_length_a 3.470
_cell_length_b 3.470
_cell_length_c 9.496
_cell_angle_alpha 79.47
_cell_angle_beta 79.47
_cell_angle_gamma 60.00
loop_
_atom_site_label
_atom_site_fract_x
_atom_site_fract_y
_atom_site_fract_z
Tm1 0.738 0.738 0.787
Tc1 0.000 0.000 0.000
Tm2 0.262 0.262 0.213
Tl1 0.500 0.500 0.500
# Crystal system = trigonal
# DOS(E_F) = 3.3 states/eV/f.u.
# Size of the total moment = 0.0000 μB/atom
# Energy relative to the elements = -0.05 eV/atom

# NaZnAs2Se4 (GGA-PBE, relaxed)
data_NaZnAs2Se4
_chemical_formula_sum 'Na1 Zn1 As2 Se4'
_space_group_name_H-M_alt 'P 1'
_space_group_IT_number 1
_space_group_name_Hall 'P 1'
_cell_length_a 6.684
_cell_length_b 6.684
_cell_length_c 6.704
_cell_angle_alpha 119.78
_cell_angle_beta 119.78
_cell_angle_gamma 90.21
loop_
_atom_site_label
_atom_site_fract_x
_atom_site_fract_y
_atom_site_fract_z
Se1 0.587 0.587 0.725
As1 0.750 0.250 0.501
Se2 0.412 0.862 0.274
Se3 0.137 0.137 0.725
Na1 0.001 0.001 0.001
As2 0.250 0.750 0.501
Zn1 0.500 0.500 0.000
Se4 0.862 0.412 0.274
# Crystal system = orthorhombic
# Raw formation energy = -0.34 eV/atom
# DOS(E_F) = 2.2 states/eV/f.u.
# Size of the total moment = 0.0000 μB/atom